Entry 1:
A relaxed structure of AcPr2Hg6. Source: Alexandria via LeMat-Bulk, functional PBE. Values from VASP.

The structure in Quantum ESPRESSO input format:
```
&SYSTEM
  ibrav = 0, nat = 9, ntyp = 3
/
ATOMIC_SPECIES
Ac 227.00 Ac.upf
Pr 140.91 Pr.upf
Hg 200.59 Hg.upf
ATOMIC_POSITIONS crystal
Ac 0.000 0.000 0.000
Pr 0.333 0.667 0.000
Pr 0.667 0.333 0.000
Hg 0.000 0.336 0.500
Hg 0.000 0.664 0.500
Hg 0.336 0.000 0.500
Hg 0.336 0.336 0.500
Hg 0.664 0.000 0.500
Hg 0.664 0.664 0.500
CELL_PARAMETERS angstrom
8.812 0.000 0.000
-4.406 7.632 0.000
0.000 0.000 3.670
```

ΔE to the lowest computed polymorph in eV/atom: 0.000
E_tot in eV per atom: -2.158
Formation energy from the elements in kJ/mol of atoms: -42.3
Crystal system: hexagonal


Entry 2:
A relaxed structure of Ac4PrHg. Source: Alexandria via LeMat-Bulk, functional PBE. Values from VASP.

The structure in Quantum ESPRESSO input format:
```
&SYSTEM
  ibrav = 0, nat = 12, ntyp = 3
/
ATOMIC_SPECIES
Ac 227.00 Ac.upf
Pr 140.91 Pr.upf
Hg 200.59 Hg.upf
ATOMIC_POSITIONS crystal
Ac 0.067 0.705 0.932
Ac 0.201 0.379 0.646
Ac 0.295 0.933 0.568
Ac 0.379 0.201 0.146
Ac 0.621 0.799 0.854
Ac 0.705 0.067 0.432
Ac 0.799 0.621 0.354
Ac 0.933 0.295 0.068
Pr 0.379 0.621 0.250
Pr 0.621 0.379 0.750
Hg 0.003 0.997 0.250
Hg 0.997 0.003 0.750
CELL_PARAMETERS angstrom
5.050 -7.592 0.000
5.050 7.592 0.000
-2.225 0.000 6.342
```

ΔE to the lowest computed polymorph in eV/atom: 0.090
E_tot in eV per atom: -3.643
Formation energy from the elements in kJ/mol of atoms: -5.5
Crystal system: monoclinic